AlTcOs2: PBEsol geometry, SCAN.

- uncorrected energy (eV per cell) = -187.24

The structure in POSCAR format:
```
AlTcOs2
1.0
-1.464 2.168 4.324
1.464 -2.168 4.324
1.464 2.168 -4.324
Al Tc Os
1 1 2
direct
0.000 0.000 0.000 Al
0.762 0.262 0.500 Tc
0.235 0.735 0.500 Os
0.501 0.501 0.000 Os
```



CrCoCu2: PBEsol geometry, SCAN.

- uncorrected energy (eV per cell) = -65.15

The structure in POSCAR format:
```
CrCoCu2
1.0
1.237 0.714 8.226
-1.237 0.714 8.226
0.000 -1.428 8.226
Cr Co Cu
1 1 2
direct
0.000 0.000 0.000 Cr
0.743 0.743 0.743 Co
0.246 0.246 0.246 Cu
0.494 0.494 0.494 Cu
```



ScTlO2F: PBEsol geometry, SCAN.

- uncorrected energy (eV per cell) = -108.15
- ΔE_f (raw) (eV per atom) = -1.110

The structure in POSCAR format:
```
ScTlO2F
1.0
4.263 0.000 0.000
0.000 4.263 0.000
0.000 0.000 4.317
Sc Tl O F
1 1 2 1
direct
0.000 0.000 0.000 Sc
0.500 0.500 0.500 Tl
0.000 0.500 0.500 O
0.500 0.000 0.500 O
0.500 0.500 0.000 F
```



Li2LaCu: PBEsol geometry, SCAN.

- uncorrected energy (eV per cell) = -62.82
- energy relative to the lowest polymorph listed for this composition (meV per atom) = 62

The structure in POSCAR format:
```
Li2LaCu
1.0
-2.230 2.510 3.659
2.230 -2.510 3.659
2.230 2.510 -3.659
Li La Cu
2 1 1
direct
0.000 0.000 0.000 Li
0.763 0.263 0.500 Li
0.482 0.482 0.000 La
0.211 0.711 0.500 Cu
```



YP4Rh: PBEsol geometry, SCAN.

- uncorrected energy (eV per cell) = -102.71

The structure in POSCAR format:
```
YP4Rh
1.0
0.000 3.590 3.590
3.590 0.000 3.590
3.590 3.590 0.000
Y P Rh
1 4 1
direct
0.000 0.000 0.000 Y
0.139 0.620 0.620 P
0.620 0.139 0.620 P
0.620 0.620 0.139 P
0.620 0.620 0.620 P
0.250 0.250 0.250 Rh
```



MnCo4O8: PBEsol geometry, SCAN.

- uncorrected energy (eV per cell) = -156.22
- ΔE_f (raw) (eV per atom) = -1.454

The structure in POSCAR format:
```
MnCo4O8
1.0
4.834 -2.803 0.000
4.834 2.803 0.000
-3.394 0.000 4.637
Mn Co O
1 4 8
direct
0.000 0.000 0.000 Mn
0.000 0.000 0.500 Co
0.000 0.500 0.000 Co
0.500 0.000 0.000 Co
0.500 0.500 0.000 Co
0.235 0.744 0.216 O
0.240 0.240 0.205 O
0.255 0.255 0.790 O
0.256 0.765 0.784 O
0.744 0.235 0.216 O
0.745 0.745 0.210 O
0.760 0.760 0.795 O
0.765 0.256 0.784 O
```



TlTc3: PBEsol geometry, SCAN.

- uncorrected energy (eV per cell) = -175.75
- energy relative to the lowest polymorph listed for this composition (meV per atom) = 0

The structure in POSCAR format:
```
TlTc3
1.0
2.848 0.000 0.000
0.000 3.947 0.000
0.000 0.000 5.666
Tl Tc
1 3
direct
0.000 0.000 0.000 Tl
0.000 0.000 0.500 Tc
0.500 0.500 0.292 Tc
0.500 0.500 0.708 Tc
```



KTiAgS2: PBEsol geometry, SCAN.

- uncorrected energy (eV per cell) = -75.95
- ΔE_f (raw) (eV per atom) = -0.194

The structure in POSCAR format:
```
KTiAgS2
1.0
4.621 0.000 0.000
0.000 4.621 0.000
0.000 0.000 6.737
K Ti Ag S
1 1 1 2
direct
0.000 0.000 0.000 K
0.000 0.000 0.500 Ti
0.500 0.500 0.000 Ag
0.000 0.500 0.500 S
0.500 0.000 0.500 S
```



CaAlTe: PBEsol geometry, SCAN.

- uncorrected energy (eV per cell) = -55.47
- energy relative to the lowest polymorph listed for this composition (meV per atom) = 203
- ΔE_f (raw) (eV per atom) = -0.268

The structure in POSCAR format:
```
CaAlTe
1.0
0.000 3.640 3.640
3.640 0.000 3.640
3.640 3.640 0.000
Ca Al Te
1 1 1
direct
0.000 0.000 0.000 Ca
0.500 0.500 0.500 Al
0.250 0.250 0.250 Te
```



Y3CdIn: PBEsol geometry, SCAN.

- uncorrected energy (eV per cell) = -146.66

The structure in POSCAR format:
```
Y3CdIn
1.0
5.508 0.000 0.000
0.000 5.508 0.000
0.000 0.000 5.508
Y Cd In
3 1 1
direct
0.000 0.000 0.500 Y
0.000 0.500 0.000 Y
0.500 0.000 0.000 Y
0.000 0.000 0.000 Cd
0.500 0.500 0.500 In
```



Mo2OsRh: PBEsol geometry, SCAN.

- uncorrected energy (eV per cell) = -175.68
- energy relative to the lowest polymorph listed for this composition (meV per atom) = 27

The structure in POSCAR format:
```
Mo2OsRh
1.0
2.756 0.000 0.000
0.000 4.404 0.000
0.000 0.000 4.751
Mo Os Rh
2 1 1
direct
0.000 0.000 0.000 Mo
0.000 0.500 0.348 Mo
0.500 0.500 0.851 Os
0.500 0.000 0.496 Rh
```



BeZnF2: PBEsol geometry, SCAN.

- uncorrected energy (eV per cell) = -67.27
- energy relative to the lowest polymorph listed for this composition (meV per atom) = 103
- ΔE_f (raw) (eV per atom) = -2.172

The structure in POSCAR format:
```
BeZnF2
1.0
0.000 3.679 3.679
3.679 0.000 3.679
3.679 3.679 0.000
Be Zn F
2 2 4
direct
0.125 0.125 0.125 Be
0.875 0.875 0.875 Be
0.375 0.375 0.375 Zn
0.625 0.625 0.625 Zn
0.000 0.000 0.000 F
0.000 0.000 0.500 F
0.000 0.500 0.000 F
0.500 0.000 0.000 F
```



NiRu5: PBEsol geometry, SCAN.

- uncorrected energy (eV per cell) = -189.84
- energy relative to the lowest polymorph listed for this composition (meV per atom) = 14

The structure in POSCAR format:
```
NiRu5
1.0
4.799 -1.340 0.000
4.799 1.340 0.000
-1.480 0.000 6.018
Ni Ru
1 5
direct
0.000 0.000 0.000 Ni
0.056 0.056 0.612 Ru
0.334 0.334 0.667 Ru
0.389 0.389 0.272 Ru
0.667 0.667 0.333 Ru
0.721 0.721 0.942 Ru
```



Ru3Au: PBEsol geometry, SCAN.

- uncorrected energy (eV per cell) = -171.97
- energy relative to the lowest polymorph listed for this composition (meV per atom) = 0

The structure in POSCAR format:
```
Ru3Au
1.0
3.832 0.000 0.000
0.000 3.832 0.000
0.000 0.000 3.832
Ru Au
3 1
direct
0.000 0.000 0.500 Ru
0.000 0.500 0.000 Ru
0.500 0.000 0.000 Ru
0.500 0.500 0.500 Au
```



BaLiZn4: PBEsol geometry, SCAN.

- uncorrected energy (eV per cell) = -96.74

The structure in POSCAR format:
```
BaLiZn4
1.0
0.000 3.911 3.911
3.911 0.000 3.911
3.911 3.911 0.000
Ba Li Zn
1 1 4
direct
0.000 0.000 0.000 Ba
0.250 0.250 0.250 Li
0.135 0.622 0.622 Zn
0.622 0.135 0.622 Zn
0.622 0.622 0.135 Zn
0.622 0.622 0.622 Zn
```



Mg2PtBr: PBEsol geometry, SCAN.

- uncorrected energy (eV per cell) = -103.33
- energy relative to the lowest polymorph listed for this composition (meV per atom) = 0
- ΔE_f (raw) (eV per atom) = -0.932

The structure in POSCAR format:
```
Mg2PtBr
1.0
3.445 0.000 0.000
0.000 3.126 0.000
-0.024 0.000 7.467
Mg Pt Br
2 1 1
direct
0.001 0.000 0.199 Mg
0.999 0.000 0.801 Mg
0.500 0.500 0.000 Pt
0.000 0.500 0.500 Br
```



ScTl2: PBEsol geometry, SCAN.

- uncorrected energy (eV per cell) = -319.38

The structure in POSCAR format:
```
ScTl2
1.0
5.205 -2.230 0.000
5.205 2.230 0.000
-1.877 0.000 6.049
Sc Tl
2 4
direct
0.153 0.153 0.316 Sc
0.847 0.847 0.684 Sc
0.175 0.175 0.816 Tl
0.500 0.500 0.000 Tl
0.500 0.500 0.500 Tl
0.825 0.825 0.184 Tl
```



InHg2: PBEsol geometry, SCAN.

- uncorrected energy (eV per cell) = -678.60

The structure in POSCAR format:
```
InHg2
1.0
6.431 0.000 0.000
0.000 4.612 0.000
0.000 0.000 9.651
In Hg
4 8
direct
0.137 0.250 0.092 In
0.363 0.750 0.592 In
0.637 0.250 0.408 In
0.863 0.750 0.908 In
0.112 0.250 0.755 Hg
0.134 0.250 0.422 Hg
0.366 0.750 0.922 Hg
0.388 0.750 0.255 Hg
0.612 0.250 0.745 Hg
0.634 0.250 0.078 Hg
0.866 0.750 0.578 Hg
0.888 0.750 0.245 Hg
```



Mg7Cu: PBEsol geometry, SCAN.

- uncorrected energy (eV per cell) = -49.51

The structure in POSCAR format:
```
Mg7Cu
1.0
0.000 4.341 4.341
4.341 0.000 4.341
4.341 4.341 0.000
Mg Cu
7 1
direct
0.000 0.000 0.000 Mg
0.000 0.000 0.500 Mg
0.000 0.500 0.000 Mg
0.000 0.500 0.500 Mg
0.500 0.000 0.000 Mg
0.500 0.000 0.500 Mg
0.500 0.500 0.000 Mg
0.500 0.500 0.500 Cu
```



K2TcIr: PBEsol geometry, SCAN.

- uncorrected energy (eV per cell) = -118.54
- energy relative to the lowest polymorph listed for this composition (meV per atom) = 9

The structure in POSCAR format:
```
K2TcIr
1.0
3.730 0.000 0.000
0.000 3.730 0.000
0.000 0.000 5.600
K Tc Ir
2 1 1
direct
0.000 0.500 0.000 K
0.500 0.000 0.000 K
0.000 0.000 0.500 Tc
0.500 0.500 0.500 Ir
```